Entry 1:
Below is a geometry-optimized Cd2MoSe structure, with properties calculated at the PBE level.

Excess energy over the best structure of this formula in the dataset ... 530 meV/atom
Calculated volume ... 20.18 Å³/atom
Formation energy from raw total energies ... 0.48 eV per atom
Magnetic moment ... 2.80 μB/f.u.
Raw total energy ... -14.22 eV per cell
Density ... 8.2 g cm⁻³

POSCAR file:
```
Cd2MoSe
1.0
4.193 0.000 0.000
0.000 4.193 0.000
0.000 0.000 4.591
Cd Mo Se
2 1 1
Cartesian
0.000 0.000 0.000
2.097 2.097 0.000
2.097 0.000 2.296
0.000 2.097 2.296
```

=====

Entry 2:
Below is a geometry-optimized CdMo6Se8 structure, with properties calculated at the PBE level.

Calculated volume ... 21.23 Å³/atom
Formation energy from raw total energies ... -0.50 eV per atom
Magnetic moment ... 0.00 μB/f.u.
Raw total energy ... -101.22 eV per cell
Density ... 6.9 g cm⁻³

POSCAR file:
```
CdMo6Se8
1.0
6.831 -0.010 -0.010
-0.190 6.829 -0.010
-0.190 -0.195 6.826
Cd Mo Se
1 6 8
Cartesian
0.000 0.000 0.000
3.653 2.816 1.582
2.718 1.480 3.767
1.408 3.691 2.857
2.798 3.808 5.224
3.733 5.143 3.038
5.043 2.932 3.948
1.476 1.515 1.557
4.975 5.108 5.249
0.652 2.400 5.035
2.382 5.013 0.851
4.949 0.782 2.535
5.800 4.224 1.771
4.069 1.610 5.955
1.502 5.841 4.270
```

=====

Entry 3:
Below is a geometry-optimized Cd2MoSe structure, with properties calculated at the PBE level.

Excess energy over the best structure of this formula in the dataset ... 259 meV/atom
Calculated volume ... 21.58 Å³/atom
Formation energy from raw total energies ... 0.21 eV per atom
Magnetic moment ... 0.00 μB/f.u.
Raw total energy ... -15.30 eV per cell
Density ... 7.7 g cm⁻³

POSCAR file:
```
Cd2MoSe
1.0
7.526 0.006 0.003
6.942 2.908 0.003
1.118 0.225 3.952
Cd Mo Se
2 1 1
Cartesian
13.625 2.744 0.254
8.636 1.739 1.731
3.897 0.785 0.989
11.690 2.354 2.968
```